Density functional theory data (PBE-GGA) for Zr2InB2Ru5 after structural relaxation.

Unit cell a=3.1268 b=9.5640 c=9.5640 alpha=90.00 beta=90.00 gamma=90.00
Positions (direct):
Zr 0.0000 0.6757 0.1757
Zr 0.0000 0.3243 0.8243
Zr 0.0000 0.1757 0.3243
Zr 0.0000 0.8243 0.6757
In 0.0000 0.0000 0.0000
In 0.0000 0.5000 0.5000
B 0.0000 0.1224 0.6224
B 0.0000 0.8776 0.3776
B 0.0000 0.6224 0.8776
B 0.0000 0.3776 0.1224
Ru 0.5000 0.2237 0.0712
Ru 0.5000 0.7763 0.9288
Ru 0.5000 0.0712 0.7763
Ru 0.5000 0.7237 0.4288
Ru 0.5000 0.9288 0.2237
Ru 0.5000 0.2763 0.5712
Ru 0.5000 0.5712 0.7237
Ru 0.5000 0.4288 0.2763
Ru 0.5000 0.5000 0.0000
Ru 0.5000 0.0000 0.5000

Summary:
- Formation enthalpy at 0 K: -512 meV per atom
- V: 14.3 Å³/atom
- ρ: 9.6 Mg/m³
- Space group: No. 127



Density functional theory data (PBE-GGA) for KNiH8Ir2 after structural relaxation.

Unit cell a=4.6614 b=4.6614 c=6.9728 alpha=70.47 beta=70.47 gamma=60.00
Positions (direct):
K 0.5000 0.5000 0.5000
Ni 0.0000 0.0000 0.0000
H 0.2194 0.2194 0.3418
H 0.6456 0.2526 0.1564
H 0.7806 0.7806 0.6582
H 0.9454 0.6456 0.1564
H 0.0546 0.3544 0.8436
H 0.2526 0.9454 0.1564
H 0.7474 0.0546 0.8436
H 0.3544 0.7474 0.8436
Ir 0.3019 0.3019 0.0942
Ir 0.6981 0.6981 0.9058

Summary:
- Uncorrected energy: -4.32 eV/atom
- V: 10.1 Å³/atom
- ρ: 6.7 Mg/m³
- Space group: No. 148



Density functional theory data (PBE-GGA) for Y3ZrS after structural relaxation.

Unit cell a=5.5055 b=5.5055 c=5.5055 alpha=90.00 beta=90.00 gamma=90.00
Positions (direct):
Y 0.0000 0.5000 0.0000
Y 0.0000 0.0000 0.5000
Y 0.5000 0.0000 0.0000
S 0.5000 0.5000 0.5000
Zr 0.0000 0.0000 0.0000

Summary:
- Uncorrected energy: -5.78 eV/atom
- V: 33.4 Å³/atom
- ρ: 3.9 Mg/m³
- Space group: No. 221



Density functional theory data (PBE-GGA) for CaTlZn3 after structural relaxation.

Unit cell a=5.6601 b=5.6601 c=5.6601 alpha=90.00 beta=90.00 gamma=90.00
Positions (direct):
Tl 0.5000 0.5000 0.5000
Ca 0.0000 0.0000 0.0000
Zn 0.0000 0.5000 0.0000
Zn 0.0000 0.0000 0.5000
Zn 0.5000 0.0000 0.0000

Summary:
- Formation enthalpy at 0 K: 643 meV per atom
- V: 36.3 Å³/atom
- ρ: 4.0 Mg/m³
- Space group: No. 221



Density functional theory data (PBE-GGA) for YThC2 after structural relaxation.

Unit cell a=3.6643 b=3.6643 c=6.4781 alpha=73.57 beta=73.57 gamma=60.00
Positions (direct):
Y 0.4964 0.4964 0.5108
Th 0.6672 0.6672 0.9983
C 0.0825 0.0825 0.7524
C 0.2539 0.2539 0.2384

Summary:
- Formation enthalpy at 0 K: 49 meV per atom
- V: 17.8 Å³/atom
- ρ: 8.0 Mg/m³
- Space group: No. 160



Density functional theory data (PBE-GGA) for Mn7Se after structural relaxation.

Unit cell a=5.1403 b=5.1403 c=5.1403 alpha=60.00 beta=60.00 gamma=60.00
Last column: magnetic moment on the atom in μB.
Positions (direct):
Mn 0.5000 0.5000 0.0000  1.83
Mn 0.5000 0.0000 0.5000  1.83
Mn 0.5000 0.0000 0.0000  1.83
Mn 0.0000 0.0000 0.5000  1.83
Mn 0.0000 0.5000 0.0000  1.83
Mn 0.0000 0.5000 0.5000  1.83
Mn 0.5000 0.5000 0.5000  -2.52
Se 0.0000 0.0000 0.0000  -0.09

Summary:
- Uncorrected energy: -8.30 eV/atom
- V: 12.0 Å³/atom
- ρ: 8.0 Mg/m³
- Space group: No. 225



Density functional theory data (PBE-GGA) for ScAlTl2 after structural relaxation.

Unit cell a=3.7695 b=3.7695 c=6.5796 alpha=90.00 beta=90.00 gamma=90.00
Positions (direct):
Sc 0.5000 0.5000 0.7500
Tl 0.0000 0.0000 0.0084
Tl 0.0000 0.0000 0.4916
Al 0.5000 0.5000 0.2500

Summary:
- Formation enthalpy at 0 K: 30 meV per atom
- V: 23.4 Å³/atom
- ρ: 8.5 Mg/m³
- Space group: No. 123



Density functional theory data (PBE-GGA) for CoHgI2Br after structural relaxation.

Unit cell a=6.5743 b=4.4704 c=6.5743 alpha=90.00 beta=90.00 gamma=90.00
Last column: magnetic moment on the atom in μB.
Positions (direct):
I 0.0000 0.0000 0.5000  0.15
I 0.5000 0.0000 0.0000  0.14
Co 0.0000 0.5000 0.0000  2.01
Hg 0.5000 0.5000 0.5000  0.06
Br 0.0000 0.0000 0.0000  0.14

Summary:
- Uncorrected energy: -1.86 eV/atom
- V: 38.6 Å³/atom
- ρ: 5.1 Mg/m³
- Space group: No. 123



Density functional theory data (PBE-GGA) for Nd3Ho3TmTe8 after structural relaxation.

Unit cell a=8.7643 b=8.7647 c=8.8279 alpha=119.77 beta=90.00 gamma=120.00
Positions (direct):
Nd 0.0000 0.0000 0.0000
Nd 0.0000 0.5000 0.0000
Nd 0.5000 0.5000 0.0000
Ho 0.5000 0.0000 0.5000
Ho 0.5000 0.5000 0.5000
Ho 0.0000 0.5000 0.5000
Tm 0.0000 0.0000 0.5000
Te 0.2543 0.5085 0.2628
Te 0.7457 0.4915 0.7372
Te 0.7497 0.4994 0.2583
Te 0.2503 0.5006 0.7417
Te 0.7497 0.0086 0.2583
Te 0.2503 0.9914 0.7417
Te 0.2589 0.0086 0.2583
Te 0.7411 0.9914 0.7417

Summary:
- Uncorrected energy: -5.23 eV/atom
- V: 32.1 Å³/atom
- ρ: 7.3 Mg/m³
- Space group: No. 166



Density functional theory data (PBE-GGA) for Zn4Au3 after structural relaxation.

Unit cell a=5.5005 b=5.5005 c=4.7502 alpha=90.00 beta=90.00 gamma=120.00
Positions (direct):
Zn 0.0000 0.0000 0.2551
Zn 0.0000 0.0000 0.7449
Zn 0.6667 0.3333 0.5000
Zn 0.3333 0.6667 0.5000
Au 0.0000 0.5000 0.0000
Au 0.5000 0.5000 0.0000
Au 0.5000 0.0000 0.0000

Summary:
- Formation enthalpy at 0 K: -12 meV per atom
- V: 17.8 Å³/atom
- ρ: 11.4 Mg/m³
- Space group: No. 191



Density functional theory data (PBE-GGA) for TeWSe after structural relaxation.

Unit cell a=8.4726 b=8.2078 c=3.1441 alpha=83.92 beta=74.43 gamma=21.65
Positions (direct):
Se 0.9598 0.9598 0.0402
Te 0.6978 0.6978 0.3022
W 0.3424 0.3424 0.6576

Summary:
- Uncorrected energy: -6.06 eV/atom
- V: 23.7 Å³/atom
- ρ: 9.1 Mg/m³
- Space group: No. 42



Density functional theory data (PBE-GGA) for Y2CdPdC after structural relaxation.

Unit cell a=4.8957 b=4.3290 c=4.8957 alpha=90.00 beta=90.00 gamma=90.00
Positions (direct):
Y 0.0000 0.0000 0.5000
Y 0.5000 0.0000 0.0000
C 0.0000 0.0000 0.0000
Pd 0.5000 0.5000 0.5000
Cd 0.0000 0.5000 0.0000

Summary:
- Formation enthalpy at 0 K: -224 meV per atom
- V: 20.8 Å³/atom
- ρ: 6.5 Mg/m³
- Space group: No. 123



Density functional theory data (PBE-GGA) for NiPOs after structural relaxation.

Unit cell a=4.3097 b=2.8773 c=6.2661 alpha=90.00 beta=91.37 gamma=90.00
Positions (direct):
Ni 0.0649 0.5000 0.8284
Ni 0.8501 0.0000 0.1668
P 0.5592 0.5000 0.9655
P 0.0530 0.0000 0.5134
Os 0.3422 0.5000 0.2989
Os 0.5716 0.0000 0.6664

Summary:
- Formation enthalpy at 0 K: -167 meV per atom
- V: 12.9 Å³/atom
- ρ: 12.0 Mg/m³
- Space group: No. 6



Density functional theory data (PBE-GGA) for RbTlPb2Cl6 after structural relaxation.

Unit cell a=7.8906 b=7.8905 c=7.9747 alpha=60.31 beta=60.31 gamma=59.99
Positions (direct):
Rb 0.7917 0.7918 0.6246
Tl 0.2999 0.2999 0.1001
Pb 0.5163 0.5163 0.4511
Pb 0.0143 0.0143 0.9572
Cl 0.6686 0.2402 0.2274
Cl 0.2400 0.8638 0.2275
Cl 0.8638 0.6687 0.2275
Cl 0.3577 0.7334 0.7333
Cl 0.7335 0.1755 0.7331
Cl 0.1757 0.3577 0.7333

Summary:
- Uncorrected energy: -3.49 eV/atom
- V: 35.3 Å³/atom
- ρ: 4.3 Mg/m³
- Space group: No. 146



Density functional theory data (PBE-GGA) for Rb2LiCu3F12 after structural relaxation.

Unit cell a=7.0503 b=7.0503 c=7.0503 alpha=63.06 beta=63.06 gamma=63.06
Positions (direct):
Rb 0.6273 0.6273 0.6273
Rb 0.3727 0.3727 0.3727
Li 0.0000 0.0000 0.0000
Cu 0.5000 0.0000 0.0000
Cu 0.0000 0.5000 0.0000
Cu 0.0000 0.0000 0.5000
F 0.3118 0.3118 0.9270
F 0.9184 0.9184 0.3422
F 0.3422 0.9184 0.9184
F 0.9270 0.3118 0.3118
F 0.9184 0.3422 0.9184
F 0.3118 0.9270 0.3118
F 0.6882 0.6882 0.0730
F 0.0816 0.0816 0.6578
F 0.6578 0.0816 0.0816
F 0.0730 0.6882 0.6882
F 0.0816 0.6578 0.0816
F 0.6882 0.0730 0.6882

Summary:
- Uncorrected energy: -4.07 eV/atom
- V: 14.7 Å³/atom
- ρ: 3.7 Mg/m³
- Space group: No. 166



Density functional theory data (PBE-GGA) for VTcTe4 after structural relaxation.

Unit cell a=3.4361 b=7.8445 c=6.2741 alpha=101.93 beta=89.99 gamma=102.68
Positions (direct):
V 0.9940 0.9880 0.0643
Tc 0.5059 0.0117 0.4371
Te 0.9031 0.8067 0.6335
Te 0.1351 0.2695 0.3928
Te 0.3649 0.7304 0.0988
Te 0.5970 0.1936 0.8735

Summary:
- Uncorrected energy: -5.63 eV/atom
- V: 26.9 Å³/atom
- ρ: 6.8 Mg/m³
- Space group: No. 8



Density functional theory data (PBE-GGA) for YbSnIr after structural relaxation.

Unit cell a=7.3545 b=7.3545 c=4.1210 alpha=90.00 beta=90.00 gamma=120.00
Last column: magnetic moment on the atom in μB.
Positions (direct):
Yb 0.0000 0.4087 0.5000  0.19
Yb 0.5913 0.5913 0.5000  0.19
Yb 0.4087 0.0000 0.5000  0.19
Sn 0.0000 0.7421 0.0000  0.00
Sn 0.2579 0.2579 0.0000  0.00
Sn 0.7421 0.0000 0.0000  0.00
Ir 0.3333 0.6667 0.0000  0.02
Ir 0.6667 0.3333 0.0000  0.02
Ir 0.0000 0.0000 0.5000  0.01

Summary:
- Formation enthalpy at 0 K: -675 meV per atom
- V: 21.4 Å³/atom
- ρ: 12.5 Mg/m³
- Space group: No. 189



Density functional theory data (PBE-GGA) for Er2TaGeN5 after structural relaxation.

Unit cell a=3.1627 b=6.9925 c=10.0788 alpha=90.00 beta=90.00 gamma=103.07
Positions (direct):
Er 0.8708 0.7416 0.7782
Er 0.1181 0.2362 0.7115
Er 0.1292 0.2584 0.2782
Er 0.8819 0.7638 0.2115
Ta 0.7749 0.5498 0.5040
Ta 0.2251 0.4502 0.0040
Ge 0.5091 0.0182 0.9731
Ge 0.4909 0.9818 0.4731
N 0.3710 0.7420 0.0110
N 0.7033 0.4065 0.8666
N 0.5001 0.0002 0.7888
N 0.2861 0.5722 0.6434
N 0.9406 0.8812 0.5472
N 0.6290 0.2580 0.5110
N 0.2967 0.5935 0.3666
N 0.4999 0.9998 0.2888
N 0.7139 0.4278 0.1434
N 0.0594 0.1188 0.0472

Summary:
- Uncorrected energy: -8.59 eV/atom
- V: 12.1 Å³/atom
- ρ: 10.1 Mg/m³
- Space group: No. 36



Density functional theory data (PBE-GGA) for Pm2SmHo3S6 after structural relaxation.

Unit cell a=6.8235 b=6.8235 c=6.9043 alpha=99.46 beta=99.46 gamma=120.18
Positions (direct):
Pm 0.3333 0.6667 0.0000
Pm 0.6667 0.3333 0.0000
Sm 0.0000 0.0000 0.0000
Ho 0.1673 0.8327 0.5000
Ho 0.8327 0.1673 0.5000
Ho 0.5000 0.5000 0.5000
S 0.9121 0.5801 0.7367
S 0.7560 0.7560 0.2638
S 0.0879 0.4199 0.2633
S 0.5801 0.9121 0.7367
S 0.2440 0.2440 0.7362
S 0.4199 0.0879 0.2633

Summary:
- Uncorrected energy: -6.40 eV/atom
- V: 21.9 Å³/atom
- ρ: 7.1 Mg/m³
- Space group: No. 12



Density functional theory data (PBE-GGA) for InCo2Br after structural relaxation.

Unit cell a=3.2071 b=3.8077 c=6.3389 alpha=89.88 beta=90.00 gamma=90.00
Last column: magnetic moment on the atom in μB.
Positions (direct):
Br 0.5000 0.7500 0.7500  0.05
Co 0.0000 0.7506 0.0737  1.47
Co 0.0000 0.7494 0.4263  1.47
In 0.5000 0.2500 0.2500  -0.07

Summary:
- Uncorrected energy: -4.36 eV/atom
- V: 19.4 Å³/atom
- ρ: 6.7 Mg/m³
- Space group: No. 10



Density functional theory data (PBE-GGA) for La2MnHPd6 after structural relaxation.

Unit cell a=7.0152 b=5.7916 c=5.7910 alpha=60.01 beta=65.59 gamma=90.00
Last column: magnetic moment on the atom in μB.
Positions (direct):
La 0.8130 0.2710 0.4576  -0.07
La 0.1870 0.7290 0.5424  -0.07
Mn 0.0000 0.0000 0.0000  3.60
H 0.5000 0.5000 0.0000  0.00
Pd 0.3136 0.2717 0.4573  0.08
Pd 0.6866 0.7285 0.0423  0.08
Pd 0.3141 0.7718 0.9572  0.08
Pd 0.6859 0.2282 0.0428  0.08
Pd 0.3134 0.2715 0.9577  0.08
Pd 0.6864 0.7283 0.5427  0.08

Summary:
- Uncorrected energy: -5.95 eV/atom
- V: 17.9 Å³/atom
- ρ: 9.0 Mg/m³
- Space group: No. 166



Density functional theory data (PBE-GGA) for CePa2As2N2 after structural relaxation.

Unit cell a=3.9120 b=6.4669 c=6.6465 alpha=64.81 beta=72.89 gamma=72.39
Last column: magnetic moment on the atom in μB.
Positions (direct):
Ce 0.0000 0.0000 0.0000  0.53
Pa 0.1919 0.3605 0.2558  0.22
Pa 0.8081 0.6395 0.7442  0.22
As 0.5716 0.2142 0.6425  -0.02
As 0.4284 0.7858 0.3575  -0.02
N 0.2141 0.6587 0.9130  -0.01
N 0.7859 0.3413 0.0870  -0.01

Summary:
- Uncorrected energy: -8.67 eV/atom
- V: 20.3 Å³/atom
- ρ: 9.1 Mg/m³
- Space group: No. 12



Density functional theory data (PBE-GGA) for TlP2 after structural relaxation.

Unit cell a=6.6965 b=6.6965 c=6.6965 alpha=152.53 beta=152.53 gamma=39.25
Positions (direct):
P 0.2841 0.2841 0.0000
P 0.7159 0.7159 0.0000
Tl 0.0000 0.0000 0.0000

Summary:
- Formation enthalpy at 0 K: 215 meV per atom
- V: 21.3 Å³/atom
- ρ: 6.9 Mg/m³
- Space group: No. 139



Density functional theory data (PBE-GGA) for NdZrPa after structural relaxation.

Unit cell a=3.2325 b=3.2325 c=8.0977 alpha=101.51 beta=101.51 gamma=90.00
Positions (direct):
Pa 0.3256 0.3256 0.6511
Nd 0.9993 0.9993 0.9985
Zr 0.6752 0.6752 0.3503

Summary:
- Formation enthalpy at 0 K: 203 meV per atom
- V: 27.1 Å³/atom
- ρ: 9.5 Mg/m³
- Space group: No. 107